# 1
# K3Er2PbO6 PBE-GGA optimized geometry
data_K3Er2PbO6
_chemical_formula_sum 'K6 Er4 Pb2 O12'
_space_group_name_H-M_alt 'C 1 2/m 1'
_space_group_IT_number 12
_space_group_name_Hall '-C 2y'
_cell_length_a 6.057
_cell_length_b 10.490
_cell_length_c 6.594
_cell_angle_alpha 90.00
_cell_angle_beta 107.83
_cell_angle_gamma 90.00
loop_
_atom_site_label
_atom_site_type_symbol
_atom_site_fract_x
_atom_site_fract_y
_atom_site_fract_z
K1 K 0.000 0.000 0.000
K2 K 0.000 0.336 0.000
Er1 Er 0.000 0.167 0.500
Pb1 Pb 0.000 0.500 0.500
O1 O 0.211 0.000 0.691
O2 O 0.240 0.324 0.691
# Raw formation energy (eV/atom): -2.23
# VASP energy (Ry per atom): -0.445
# Calculated volume (A^3/atom): 16.62
# Magnetization (μB/cell): 1.59

=====

# 2
# K2ErPbO4 PBE-GGA optimized geometry
data_K2ErPbO4
_chemical_formula_sum 'K2 Er1 Pb1 O4'
_space_group_name_H-M_alt 'P 1 2/m 1'
_space_group_IT_number 10
_space_group_name_Hall '-P 2y'
_cell_length_a 6.105
_cell_length_b 3.524
_cell_length_c 6.610
_cell_angle_alpha 90.00
_cell_angle_beta 108.15
_cell_angle_gamma 90.00
loop_
_atom_site_label
_atom_site_type_symbol
_atom_site_fract_x
_atom_site_fract_y
_atom_site_fract_z
K1 K 0.000 0.000 0.000
K2 K 0.500 0.500 0.000
Er1 Er 0.000 0.500 0.500
Pb1 Pb 0.500 0.000 0.500
O1 O 0.214 0.000 0.690
O2 O 0.254 0.500 0.305
# Raw formation energy (eV/atom): -1.95
# VASP energy (Ry per atom): -0.422
# Calculated volume (A^3/atom): 16.89
# Magnetization (μB/cell): 0.00

=====

# 3
# K3Er2PdO6 PBE-GGA optimized geometry
data_K3Er2PdO6
_chemical_formula_sum 'K6 Er4 Pd2 O12'
_space_group_name_H-M_alt 'C 1 2/m 1'
_space_group_IT_number 12
_space_group_name_Hall '-C 2y'
_cell_length_a 5.967
_cell_length_b 9.975
_cell_length_c 6.578
_cell_angle_alpha 90.00
_cell_angle_beta 108.87
_cell_angle_gamma 90.00
loop_
_atom_site_label
_atom_site_type_symbol
_atom_site_fract_x
_atom_site_fract_y
_atom_site_fract_z
K1 K 0.000 0.000 0.000
K2 K 0.000 0.337 0.000
Er1 Er 0.000 0.165 0.500
Pd1 Pd 0.000 0.500 0.500
O1 O 0.211 0.000 0.706
O2 O 0.222 0.341 0.678
# Raw formation energy (eV/atom): -2.09
# VASP energy (Ry per atom): -0.443
# Calculated volume (A^3/atom): 15.44
# Magnetization (μB/cell): 2.00

=====

# 4
# K3Er3PdO8 PBE-GGA optimized geometry
data_K3Er3PdO8
_chemical_formula_sum 'K9 Er9 Pd3 O24'
_space_group_name_H-M_alt 'R -3 m'
_space_group_IT_number 166
_space_group_name_Hall '-R 3 2"'
_cell_length_a 6.7169
_cell_length_b 6.7169
_cell_length_c 18.8206
_cell_angle_alpha 90.00
_cell_angle_beta 90.00
_cell_angle_gamma 120.00
loop_
_atom_site_label
_atom_site_type_symbol
_atom_site_fract_x
_atom_site_fract_y
_atom_site_fract_z
K1 K 0.0000 0.5000 0.0000
Er1 Er 0.0000 0.5000 0.5000
Pd1 Pd 0.0000 0.0000 0.5000
O1 O 0.0000 0.0000 0.2268
O2 O 0.0216 0.5108 0.2251
# Raw formation energy (eV/atom): -2.33
# VASP energy (Ry per atom): -0.474
# Calculated volume (A^3/atom): 16.34
# Magnetization (μB/cell): 0.00